1.
VASP calculation (meta-GGA SCAN) on a PBEsol-optimized structure of La2TaCr. Values from VASP.

```
&SYSTEM
  ibrav = 0, nat = 4, ntyp = 3
/
ATOMIC_SPECIES
Cr 52.00 Cr.upf
La 138.91 La.upf
Ta 180.95 Ta.upf
ATOMIC_POSITIONS angstrom
Cr -3.7436 0.1479 0.6350
La -2.9507 3.3197 -1.1017
La -1.0218 1.1156 -0.1479
Ta -1.9658 -1.4071 -1.7649
CELL_PARAMETERS angstrom
-0.2084 0.6626 -3.0247
-3.7231 -3.4769 -0.5052
-3.7641 3.7727 1.7751
```

Summary:
Density of states at the Fermi level, states/eV/f.u.: 4.530
Formation enthalpy at 0 K, meV per atom: 682.3
Space-group type: No. 10
VASP energy, eV per cell: -168.45
E above lowest polymorph, meV/atom: 0.0
Magnetization, μB/cell: 2.78

=====

2.
VASP calculation (meta-GGA SCAN) on a PBEsol-optimized structure of LaCr2Tc. Values from VASP.

```
&SYSTEM
  ibrav = 0, nat = 4, ntyp = 3
/
ATOMIC_SPECIES
Cr 52.00 Cr.upf
La 138.91 La.upf
Tc 98.00 Tc.upf
ATOMIC_POSITIONS angstrom
Cr -2.1253 -1.4618 4.3621
Cr -0.9830 -0.6761 2.0175
La 0.7086 -1.9864 -0.3204
Tc -0.8456 -3.0554 2.8694
CELL_PARAMETERS angstrom
-1.0936 -2.4619 -1.3579
2.5108 -1.5108 0.7170
-3.1083 -2.1379 6.3796
```

Summary:
Density of states at the Fermi level, states/eV/f.u.: 2.790
Formation enthalpy at 0 K, meV per atom: 251.0
Space-group type: No. 123
VASP energy, eV per cell: -113.93
E above lowest polymorph, meV/atom: 0.0
Magnetization, μB/cell: 3.87

=====

3.
VASP calculation (meta-GGA SCAN) on a PBEsol-optimized structure of LaCr2Tc. Values from VASP.

```
&SYSTEM
  ibrav = 0, nat = 4, ntyp = 3
/
ATOMIC_SPECIES
Cr 52.00 Cr.upf
La 138.91 La.upf
Tc 98.00 Tc.upf
ATOMIC_POSITIONS angstrom
Cr -1.9014 -0.5525 1.4317
Cr -6.5592 -0.8883 5.6940
La -4.2303 -0.7204 3.5628
Tc 0.0000 0.0000 0.0000
CELL_PARAMETERS angstrom
-2.4956 -1.2689 -0.8275
-0.7033 -2.6424 1.0230
-5.2618 2.4706 6.9302
```

Summary:
Density of states at the Fermi level, states/eV/f.u.: 3.703
Formation enthalpy at 0 K, meV per atom: 711.6
Space-group type: No. 166
VASP energy, eV per cell: -112.09
E above lowest polymorph, meV/atom: 460.6
Magnetization, μB/cell: 5.10

=====

4.
VASP calculation (meta-GGA SCAN) on a PBEsol-optimized structure of LaCr2Tc. Values from VASP.

```
&SYSTEM
  ibrav = 0, nat = 4, ntyp = 3
/
ATOMIC_SPECIES
Cr 52.00 Cr.upf
La 138.91 La.upf
Tc 98.00 Tc.upf
ATOMIC_POSITIONS angstrom
Cr 0.0000 0.0000 2.2847
Cr 0.0000 2.2847 0.0000
La 1.5102 2.2847 2.2847
Tc 1.5102 0.0000 0.0000
CELL_PARAMETERS angstrom
3.0204 0.0000 0.0000
0.0000 4.5693 0.0000
0.0000 0.0000 4.5693
```

Summary:
Density of states at the Fermi level, states/eV/f.u.: 3.119
Formation enthalpy at 0 K, meV per atom: 710.9
Space-group type: No. 123
VASP energy, eV per cell: -112.09
E above lowest polymorph, meV/atom: 459.9
Magnetization, μB/cell: 2.68

=====

5.
VASP calculation (meta-GGA SCAN) on a PBEsol-optimized structure of LaCrTc3. Values from VASP.

```
&SYSTEM
  ibrav = 0, nat = 5, ntyp = 3
/
ATOMIC_SPECIES
Cr 52.00 Cr.upf
Tc 98.00 Tc.upf
La 138.91 La.upf
ATOMIC_POSITIONS angstrom
Cr 0.0000 0.0000 0.0000
Tc 0.0000 2.2507 0.0000
Tc 0.0000 0.0000 2.2507
Tc 2.2507 0.0000 0.0000
La 2.2507 2.2507 2.2507
CELL_PARAMETERS angstrom
4.5014 0.0000 0.0000
0.0000 4.5014 0.0000
0.0000 0.0000 4.5014
```

Summary:
Density of states at the Fermi level, states/eV/f.u.: 6.401
Formation enthalpy at 0 K, meV per atom: 637.0
Space-group type: No. 221
VASP energy, eV per cell: -163.48
Magnetization, μB/cell: 0.49

=====

6.
VASP calculation (meta-GGA SCAN) on a PBEsol-optimized structure of La2CrTe. Values from VASP.

```
&SYSTEM
  ibrav = 0, nat = 4, ntyp = 3
/
ATOMIC_SPECIES
Cr 52.00 Cr.upf
La 138.91 La.upf
Te 127.60 Te.upf
ATOMIC_POSITIONS angstrom
Cr 0.2944 2.2815 4.5904
La -1.7902 0.0000 5.3652
La 2.3674 2.2815 1.8929
Te 0.2832 0.0000 2.8249
CELL_PARAMETERS angstrom
4.1816 0.0000 -0.0296
0.0000 4.5630 0.0000
-2.0470 0.0000 5.8872
```

Summary:
Density of states at the Fermi level, states/eV/f.u.: 2.940
E_form (uncorrected), meV/atom: -691
Space-group type: No. 38
VASP energy, eV per cell: -144.61
Magnetization, μB/cell: 3.01

=====

7.
VASP calculation (meta-GGA SCAN) on a PBEsol-optimized structure of La2CrTe. Values from VASP.

```
&SYSTEM
  ibrav = 0, nat = 4, ntyp = 3
/
ATOMIC_SPECIES
Cr 52.00 Cr.upf
La 138.91 La.upf
Te 127.60 Te.upf
ATOMIC_POSITIONS angstrom
Cr 0.0000 0.0000 0.0000
La -2.2215 -2.4488 -0.0346
La -6.6645 -7.3464 -0.1037
Te -4.4430 -4.8976 -0.0691
CELL_PARAMETERS angstrom
-2.7201 -3.4407 -3.1491
-1.0943 -4.9849 1.7628
-5.0716 -1.3696 1.2481
```

Summary:
Density of states at the Fermi level, states/eV/f.u.: 2.587
E_form (uncorrected), meV/atom: -483
Space-group type: No. 225
VASP energy, eV per cell: -143.78
Magnetization, μB/cell: 3.72

=====

8.
VASP calculation (meta-GGA SCAN) on a PBEsol-optimized structure of LaTiCr2. Values from VASP.

```
&SYSTEM
  ibrav = 0, nat = 4, ntyp = 3
/
ATOMIC_SPECIES
Cr 52.00 Cr.upf
Ti 47.87 Ti.upf
La 138.91 La.upf
ATOMIC_POSITIONS angstrom
Cr -2.7576 -0.1331 0.4365
Cr -8.2728 -0.3994 1.3094
Ti 0.0000 0.0000 0.0000
La -5.5152 -0.2662 0.8729
CELL_PARAMETERS angstrom
-3.5394 1.9687 2.1049
-4.0986 0.0692 -2.0076
-3.3925 -2.5704 1.6486
```

Summary:
Density of states at the Fermi level, states/eV/f.u.: 3.109
Formation enthalpy at 0 K, meV per atom: 469.2
Space-group type: No. 225
VASP energy, eV per cell: -94.03
Magnetization, μB/cell: 4.30

=====

9.
VASP calculation (meta-GGA SCAN) on a PBEsol-optimized structure of La3TlCr. Values from VASP.

```
&SYSTEM
  ibrav = 0, nat = 5, ntyp = 3
/
ATOMIC_SPECIES
Cr 52.00 Cr.upf
Tl 204.38 Tl.upf
La 138.91 La.upf
ATOMIC_POSITIONS angstrom
Cr 0.0000 0.0000 0.0000
Tl 2.5931 2.5931 2.5931
La 0.0000 2.5931 0.0000
La 0.0000 0.0000 2.5931
La 2.5931 0.0000 0.0000
CELL_PARAMETERS angstrom
5.1863 0.0000 0.0000
0.0000 5.1863 0.0000
0.0000 0.0000 5.1863
```

Summary:
Density of states at the Fermi level, states/eV/f.u.: 6.144
Formation enthalpy at 0 K, meV per atom: 28.5
Space-group type: No. 221
VASP energy, eV per cell: -219.92
Magnetization, μB/cell: 0.00

=====

10.
VASP calculation (meta-GGA SCAN) on a PBEsol-optimized structure of LaTl3Cr. Values from VASP.

```
&SYSTEM
  ibrav = 0, nat = 5, ntyp = 3
/
ATOMIC_SPECIES
Cr 52.00 Cr.upf
Tl 204.38 Tl.upf
La 138.91 La.upf
ATOMIC_POSITIONS angstrom
Cr 2.9586 2.9586 2.9586
Tl 0.0000 2.9586 0.0000
Tl 0.0000 0.0000 2.9586
Tl 2.9586 0.0000 0.0000
La 0.0000 0.0000 0.0000
CELL_PARAMETERS angstrom
5.9172 0.0000 0.0000
0.0000 5.9172 0.0000
0.0000 0.0000 5.9172
```

Summary:
Density of states at the Fermi level, states/eV/f.u.: 4.473
Formation enthalpy at 0 K, meV per atom: 906.7
Space-group type: No. 221
VASP energy, eV per cell: -274.03
Magnetization, μB/cell: 3.83

=====

11.
VASP calculation (meta-GGA SCAN) on a PBEsol-optimized structure of LaTlCr2. Values from VASP.

```
&SYSTEM
  ibrav = 0, nat = 4, ntyp = 3
/
ATOMIC_SPECIES
Cr 52.00 Cr.upf
La 138.91 La.upf
Tl 204.38 Tl.upf
ATOMIC_POSITIONS angstrom
Cr -1.2050 -1.1305 -2.4305
Cr -3.6149 -3.3915 -7.2916
La 0.0000 0.0000 0.0000
Tl -2.4099 -2.2610 -4.8611
CELL_PARAMETERS angstrom
-3.7326 0.2541 -3.0060
0.6398 -0.7821 -4.6917
-1.7270 -3.9941 -2.0244
```

Summary:
Density of states at the Fermi level, states/eV/f.u.: 4.297
Formation enthalpy at 0 K, meV per atom: 304.5
Space-group type: No. 225
VASP energy, eV per cell: -151.01
Magnetization, μB/cell: 6.44

=====

12.
VASP calculation (meta-GGA SCAN) on a PBEsol-optimized structure of LaCrW2. Values from VASP.

```
&SYSTEM
  ibrav = 0, nat = 4, ntyp = 3
/
ATOMIC_SPECIES
Cr 52.00 Cr.upf
La 138.91 La.upf
W 183.84 W.upf
ATOMIC_POSITIONS angstrom
Cr 0.0000 -0.6175 2.4798
La 1.5061 0.0000 0.0000
W 1.5061 1.2151 3.3758
W 0.0000 2.4203 1.5868
CELL_PARAMETERS angstrom
3.0122 0.0000 0.0000
-1.5061 4.8703 0.0031
0.0000 -1.2349 4.9596
```

Summary:
Density of states at the Fermi level, states/eV/f.u.: 3.052
Formation enthalpy at 0 K, meV per atom: 775.2
Space-group type: No. 12
VASP energy, eV per cell: -197.76
E above lowest polymorph, meV/atom: 189.5
Magnetization, μB/cell: 0.93

=====

13.
VASP calculation (meta-GGA SCAN) on a PBEsol-optimized structure of LaCrW2. Values from VASP.

```
&SYSTEM
  ibrav = 0, nat = 4, ntyp = 3
/
ATOMIC_SPECIES
Cr 52.00 Cr.upf
La 138.91 La.upf
W 183.84 W.upf
ATOMIC_POSITIONS angstrom
Cr -0.8244 -0.2607 1.9356
La 1.4068 2.7152 3.2868
W 3.6477 4.8652 2.2090
W 0.8147 1.0866 0.4934
CELL_PARAMETERS angstrom
-2.3690 1.1121 1.4626
0.7202 -1.6335 2.4086
4.4624 5.9518 2.7023
```

Summary:
Density of states at the Fermi level, states/eV/f.u.: 3.279
Formation enthalpy at 0 K, meV per atom: 585.7
Space-group type: No. 123
VASP energy, eV per cell: -198.52
E above lowest polymorph, meV/atom: 0.0
Magnetization, μB/cell: 0.00

=====

14.
VASP calculation (meta-GGA SCAN) on a PBEsol-optimized structure of LaCr2W. Values from VASP.

```
&SYSTEM
  ibrav = 0, nat = 4, ntyp = 3
/
ATOMIC_SPECIES
Cr 52.00 Cr.upf
La 138.91 La.upf
W 183.84 W.upf
ATOMIC_POSITIONS angstrom
Cr 1.8918 -0.9712 -1.3978
Cr 0.9406 1.9008 1.4065
La -0.2475 -1.0045 0.9448
W 2.5849 -0.0749 0.9535
CELL_PARAMETERS angstrom
-0.4951 -2.0089 1.8895
3.7836 -1.9424 -2.7955
1.8811 3.8016 2.8130
```

Summary:
Density of states at the Fermi level, states/eV/f.u.: 4.510
Formation enthalpy at 0 K, meV per atom: 998.2
Space-group type: No. 12
VASP energy, eV per cell: -145.57
E above lowest polymorph, meV/atom: 216.8
Magnetization, μB/cell: 0.00

=====

15.
VASP calculation (meta-GGA SCAN) on a PBEsol-optimized structure of LaCr2W. Values from VASP.

```
&SYSTEM
  ibrav = 0, nat = 4, ntyp = 3
/
ATOMIC_SPECIES
Cr 52.00 Cr.upf
La 138.91 La.upf
W 183.84 W.upf
ATOMIC_POSITIONS angstrom
Cr -1.5187 -1.0996 -1.6598
Cr -5.9448 -3.9431 -4.9508
La -3.7317 -2.5214 -3.3053
W 0.0000 0.0000 0.0000
CELL_PARAMETERS angstrom
-0.4396 0.8207 -2.8510
0.8057 -1.8362 -2.2303
-7.8295 -4.0272 -1.5294
```

Summary:
Density of states at the Fermi level, states/eV/f.u.: 4.185
Formation enthalpy at 0 K, meV per atom: 781.5
Space-group type: No. 166
VASP energy, eV per cell: -146.44
E above lowest polymorph, meV/atom: 0.0
Magnetization, μB/cell: 4.55